a:
## AcSmTlIn (PBE-GGA)

Data for a relaxed AcSmTlIn crystal.

- Mass density: 9.1 g cm⁻³
- Space-group type: F-43m (216)
- Total moment: 0.00 μB per formula unit

Geometry as POSCAR:
```
AcSmTlIn
1.0
0.000 3.996 3.996
3.996 0.000 3.996
3.996 3.996 0.000
Ac Sm Tl In
1 1 1 1
Cartesian
0.000 0.000 0.000 Ac
3.996 3.996 3.996 Sm
1.998 1.998 1.998 Tl
5.994 5.994 5.994 In
```

---

b:
## AcSmTlIn (PBE-GGA)

Data for a relaxed AcSmTlIn crystal.

- Mass density: 9.2 g cm⁻³
- Space-group type: P4mm (99)
- Total moment: 0.00 μB per formula unit

Geometry as POSCAR:
```
AcSmTlIn
1.0
3.966 0.000 0.000
0.000 3.966 0.000
0.000 0.000 8.020
Ac Sm Tl In
1 1 1 1
Cartesian
0.000 0.000 0.000 Ac
0.000 0.000 3.965 Sm
1.983 1.983 5.793 Tl
1.983 1.983 2.161 In
```

---

The structure with the greatest stability is b.

---

a:
## AcSmZnIn (PBE-GGA)

Data for a relaxed AcSmZnIn crystal.

- Mass density: 7.8 g cm⁻³
- Space-group type: F-43m (216)
- Total moment: 0.00 μB per formula unit

Geometry as POSCAR:
```
AcSmZnIn
1.0
0.000 3.902 3.902
3.902 0.000 3.902
3.902 3.902 0.000
Ac Sm Zn In
1 1 1 1
Cartesian
0.000 0.000 0.000 Ac
3.902 3.902 3.902 Sm
5.852 5.852 5.852 Zn
1.951 1.951 1.951 In
```

---

b:
## AcSmZnIn (PBE-GGA)

Data for a relaxed AcSmZnIn crystal.

- Mass density: 8.0 g cm⁻³
- Space-group type: P4mm (99)
- Total moment: 0.00 μB per formula unit

Geometry as POSCAR:
```
AcSmZnIn
1.0
3.847 0.000 0.000
0.000 3.847 0.000
0.000 0.000 7.863
Ac Sm Zn In
1 1 1 1
Cartesian
0.000 0.000 0.000 Ac
0.000 0.000 3.646 Sm
1.923 1.923 2.084 Zn
1.923 1.923 5.551 In
```

---

The structure with the greatest stability is b.